Model i:
The following is a PBE calculation of Er4ZnCd3 after structural relaxation, from the Alexandria database.

Calculated values
total moment	0.00	μB per cell
ρ	9.01	Mg/m³
SG	P4/mmm (123)

```
8
Lattice="-1.359 -0.113 -3.377 -0.078 -3.638 0.153 -13.812 0.529 5.543" Properties=species:S:1:pos:R:3 pbc="T T T"
Zn -0.719 -1.875 -1.612
Cd -4.085 -1.746 -0.261
Cd -7.624 -1.611 1.159
Cd -11.164 -1.476 2.580
Er -12.238 0.468 4.911
Er -1.574 0.060 0.631
Er -5.136 0.197 2.061
Er -8.676 0.332 3.482
```



Model ii:
The following is a PBE calculation of Er4ZnCd3 after structural relaxation, from the Alexandria database.

Calculated values
total moment	0.00	μB per cell
ρ	8.80	Mg/m³
SG	Pmm2 (25)

```
8
Lattice="3.598 0.000 0.000 0.000 4.797 0.000 0.000 0.000 11.723" Properties=species:S:1:pos:R:3 pbc="T T T"
Er 1.799 2.398 3.891
Er 0.000 2.398 9.930
Er 0.000 0.000 1.816
Er 1.799 0.000 7.765
Zn 1.799 2.398 0.871
Cd 0.000 2.398 6.726
Cd 0.000 0.000 4.982
Cd 1.799 0.000 10.913
```



So which one is most stable? That would be model i, about 0.066 eV/atom below the next structure.